Record 1
Here is a geometry-optimized ThScCu10 structure from Alexandria via LeMat-Bulk. Energies are from PBE.

## Properties
- energy of formation (eV per atom) = -0.135

```
data_ThScCu10
_chemical_formula_sum 'Th1 Sc1 Cu10'
_space_group_name_H-M_alt 'P m m m'
_space_group_IT_number 47
_cell_length_a 4.1180
_cell_length_b 5.0210
_cell_length_c 8.6377
_cell_angle_alpha 90.00
_cell_angle_beta 90.00
_cell_angle_gamma 90.00
loop_
_space_group_symop_operation_xyz
'x,y,z'
'-x,-y,-z'
'-x,-y,z'
'x,y,-z'
'x,-y,-z'
'-x,y,z'
'-x,y,-z'
'x,-y,z'
loop_
_atom_site_label
_atom_site_fract_x
_atom_site_fract_y
_atom_site_fract_z
_atom_site_occupancy
Th1 0.0000 0.0000 0.0000 1
Sc1 0.0000 0.5000 0.5000 1
Cu1 0.0000 0.0000 0.3430 1
Cu2 0.0000 0.5000 0.1806 1
Cu3 0.5000 0.0000 0.5000 1
Cu4 0.5000 0.2515 0.2546 1
Cu5 0.5000 0.5000 0.0000 1
```


Record 2
Here is a geometry-optimized TlFeCu2 structure from Alexandria via LeMat-Bulk. Energies are from PBE.

## Properties
- energy of formation (eV per atom) = 0.386

```
data_TlFeCu2
_chemical_formula_sum 'Tl1 Fe1 Cu2'
_space_group_name_H-M_alt 'P 4/m m m'
_space_group_IT_number 123
_space_group_name_Hall '-P 4 2'
_cell_length_a 3.8867
_cell_length_b 3.8867
_cell_length_c 3.9437
_cell_angle_alpha 90.00
_cell_angle_beta 90.00
_cell_angle_gamma 90.00
loop_
_atom_site_label
_atom_site_fract_x
_atom_site_fract_y
_atom_site_fract_z
_atom_site_occupancy
Tl1 0.0000 0.0000 0.0000 1
Fe1 0.5000 0.5000 0.0000 1
Cu1 0.0000 0.5000 0.5000 1
```


Record 3
Here is a geometry-optimized GaRe structure from Alexandria via LeMat-Bulk. Energies are from PBE.

## Properties
- energy of formation (eV per atom) = -0.017

```
data_GaRe
_chemical_formula_sum 'Ga4 Re4'
_space_group_name_H-M_alt 'I 4/m m m'
_space_group_IT_number 139
_space_group_name_Hall '-I 4 2'
_cell_length_a 2.8776
_cell_length_b 2.8776
_cell_length_c 15.8684
_cell_angle_alpha 90.00
_cell_angle_beta 90.00
_cell_angle_gamma 90.00
loop_
_atom_site_label
_atom_site_fract_x
_atom_site_fract_y
_atom_site_fract_z
_atom_site_occupancy
Ga1 0.0000 0.0000 0.0794 1
Re1 0.0000 0.0000 0.3025 1
```


Record 4
Here is a geometry-optimized ZnCu2Ni5 structure from Alexandria via LeMat-Bulk. Energies are from PBE.

## Properties
- energy of formation (eV per atom) = -0.039

```
data_ZnCu2Ni5
_chemical_formula_sum 'Zn2 Cu4 Ni10'
_space_group_name_H-M_alt 'I 4/m m m'
_space_group_IT_number 139
_space_group_name_Hall '-I 4 2'
_cell_length_a 3.5858
_cell_length_b 3.5858
_cell_length_c 14.1725
_cell_angle_alpha 90.00
_cell_angle_beta 90.00
_cell_angle_gamma 90.00
loop_
_atom_site_label
_atom_site_fract_x
_atom_site_fract_y
_atom_site_fract_z
_atom_site_occupancy
Zn1 0.0000 0.0000 0.0000 1
Cu1 0.0000 0.0000 0.2499 1
Ni1 0.0000 0.0000 0.5000 1
Ni2 0.0000 0.5000 0.1243 1
```


Record 5
Here is a geometry-optimized LaSb2RuW structure from Alexandria via LeMat-Bulk. Energies are from PBE.

## Properties
- formation energy from raw total energies (eV per atom) = 0.977

```
data_LaSb2RuW
_chemical_formula_sum 'La1 Sb2 Ru1 W1'
_space_group_name_H-M_alt 'P 4/m m m'
_space_group_IT_number 123
_space_group_name_Hall '-P 4 2'
_cell_length_a 5.1706
_cell_length_b 5.1706
_cell_length_c 5.4264
_cell_angle_alpha 90.00
_cell_angle_beta 90.00
_cell_angle_gamma 90.00
loop_
_atom_site_label
_atom_site_fract_x
_atom_site_fract_y
_atom_site_fract_z
_atom_site_occupancy
La1 0.0000 0.0000 0.0000 1
Sb1 0.0000 0.5000 0.5000 1
Ru1 0.5000 0.5000 0.0000 1
W1 0.0000 0.0000 0.5000 1
```


Record 6
Here is a geometry-optimized TbDy3Ho7 structure from Alexandria via LeMat-Bulk. Energies are from PBE.

## Properties
- energy of formation (eV per atom) = 0.150

```
data_TbDy3Ho7
_chemical_formula_sum 'Tb1 Dy3 Ho7'
_space_group_name_H-M_alt 'P 1 2/m 1'
_space_group_IT_number 10
_cell_length_a 6.9025
_cell_length_b 5.4864
_cell_length_c 9.8476
_cell_angle_alpha 90.00
_cell_angle_beta 110.22
_cell_angle_gamma 90.00
loop_
_space_group_symop_operation_xyz
'x,y,z'
'-x,-y,-z'
'-x,y,-z'
'x,-y,z'
loop_
_atom_site_label
_atom_site_fract_x
_atom_site_fract_y
_atom_site_fract_z
_atom_site_occupancy
Tb1 0.0000 0.0000 0.0000 1
Dy1 0.2793 0.5000 0.4988 1
Dy2 0.5000 0.0000 0.0000 1
Ho1 0.0000 0.0000 0.5000 1
Ho2 0.1465 0.5000 0.7905 1
Ho3 0.3206 0.5000 0.1408 1
Ho4 0.4181 0.0000 0.3305 1
```


Record 7
Here is a geometry-optimized TiNb3Sn2 structure from Alexandria via LeMat-Bulk. Energies are from PBE.

## Properties
- energy of formation (eV per atom) = -0.121

```
data_TiNb3Sn2
_chemical_formula_sum 'Ti4 Nb12 Sn8'
_space_group_name_H-M_alt 'P n m a'
_space_group_IT_number 62
_cell_length_a 7.0126
_cell_length_b 4.6240
_cell_length_c 14.1493
_cell_angle_alpha 90.00
_cell_angle_beta 90.00
_cell_angle_gamma 90.00
loop_
_space_group_symop_operation_xyz
'x,y,z'
'-x,-y,-z'
'-x+1/2,-y,z+1/2'
'x+1/2,y,-z+1/2'
'x+1/2,-y+1/2,-z+1/2'
'-x+1/2,y+1/2,z+1/2'
'-x,y+1/2,-z'
'x,-y+1/2,z'
loop_
_atom_site_label
_atom_site_fract_x
_atom_site_fract_y
_atom_site_fract_z
_atom_site_occupancy
Ti1 0.0033 0.2500 0.0978 1
Nb1 0.0014 0.2500 0.4079 1
Nb2 0.2459 0.7500 0.7446 1
Nb3 0.2475 0.2500 0.5785 1
Sn1 0.0061 0.7500 0.2526 1
Sn2 0.2356 0.2500 0.9345 1
```


Record 8
Here is a geometry-optimized RbTmAg2Br6 structure from Alexandria via LeMat-Bulk. Energies are from PBE.

## Properties
- formation energy from raw total energies (eV per atom) = -1.158

```
data_RbTmAg2Br6
_chemical_formula_sum 'Rb4 Tm4 Ag8 Br24'
_space_group_name_H-M_alt 'C 1 2/c 1'
_space_group_IT_number 15
_cell_length_a 15.0225
_cell_length_b 13.4332
_cell_length_c 8.7775
_cell_angle_alpha 90.00
_cell_angle_beta 115.32
_cell_angle_gamma 90.00
loop_
_space_group_symop_operation_xyz
'x,y,z'
'-x,-y,-z'
'-x,y,-z+1/2'
'x,-y,z+1/2'
'x+1/2,y+1/2,z'
'-x+1/2,-y+1/2,-z'
'-x+1/2,y+1/2,-z+1/2'
'x+1/2,-y+1/2,z+1/2'
loop_
_atom_site_label
_atom_site_fract_x
_atom_site_fract_y
_atom_site_fract_z
_atom_site_occupancy
Rb1 0.0000 0.1682 0.2500 1
Tm1 0.0000 0.1765 0.7500 1
Ag1 0.0835 0.4636 0.1522 1
Br1 0.1158 0.0646 0.6695 1
Br2 0.1192 0.2748 0.0201 1
Br3 0.1279 0.4072 0.4679 1
```


Record 9
Here is a geometry-optimized Y3I7O structure from Alexandria via LeMat-Bulk. Energies are from PBE.

## Properties
- formation energy from raw total energies (eV per atom) = -1.701

```
data_Y3I7O
_chemical_formula_sum 'Y6 I14 O2'
_space_group_name_H-M_alt 'P 63 m c'
_space_group_IT_number 186
_space_group_name_Hall 'P 6c -2c'
_cell_length_a 8.3753
_cell_length_b 8.3753
_cell_length_c 15.6196
_cell_angle_alpha 90.00
_cell_angle_beta 90.00
_cell_angle_gamma 120.00
loop_
_atom_site_label
_atom_site_fract_x
_atom_site_fract_y
_atom_site_fract_z
_atom_site_occupancy
Y1 0.1470 0.2940 0.0000 1
I1 0.9996 0.4998 0.1094 1
I2 0.1713 0.3427 0.3761 1
I3 0.3333 0.6667 0.8878 1
O1 0.0000 0.0000 0.0355 1
```


What did the second record say?
Here is a geometry-optimized TlFeCu2 structure from Alexandria via LeMat-Bulk. Energies are from PBE.

## Properties
- energy of formation (eV per atom) = 0.386

```
data_TlFeCu2
_chemical_formula_sum 'Tl1 Fe1 Cu2'
_space_group_name_H-M_alt 'P 4/m m m'
_space_group_IT_number 123
_space_group_name_Hall '-P 4 2'
_cell_length_a 3.8867
_cell_length_b 3.8867
_cell_length_c 3.9437
_cell_angle_alpha 90.00
_cell_angle_beta 90.00
_cell_angle_gamma 90.00
loop_
_atom_site_label
_atom_site_fract_x
_atom_site_fract_y
_atom_site_fract_z
_atom_site_occupancy
Tl1 0.0000 0.0000 0.0000 1
Fe1 0.5000 0.5000 0.0000 1
Cu1 0.0000 0.5000 0.5000 1
```